Record 1
## K2SmBiSe4 (PBE-GGA)

Data for a relaxed K2SmBiSe4 crystal.

Geometry as extended XYZ:
```
8
Lattice="-4.1507 -0.5380 1.0280 1.7531 -6.1725 3.8481 0.4414 6.2954 5.0767" Properties=species:S:1:pos:R:3 pbc="T T T"
K -1.8546 2.8787 3.0524
K 1.0973 0.0615 4.4624
Sm -1.1988 -3.3552 2.4381
Bi 0.0000 0.0000 0.0000
Se -1.5620 -0.4180 2.5089
Se -0.3942 0.0029 7.4440
Se 0.8148 3.3375 5.0366
Se 1.3797 -3.2146 3.8883
```

Computed properties:
space group: No. 10
formation energy without anion corrections: -10.26 eV/f.u.



Record 2
## AlFeBr2 (PBE-GGA)

Data for a relaxed AlFeBr2 crystal.

Geometry as extended XYZ:
```
4
Lattice="-2.9544 -6.3024 0.9636 -0.5760 -5.7061 -4.0603 4.1762 5.0309 2.5743" Properties=species:S:1:pos:R:3 pbc="T T T"
Fe -1.7652 -6.0042 -1.5484
Br 0.0000 0.0000 0.0000
Br 0.9175 -3.3397 -1.5172
Al -0.2717 -3.6379 0.9947
```

Computed properties:
space group: No. 119
relative energy among the computed polymorphs: 0.671 eV per atom
formation energy without anion corrections: 1.58 eV/f.u.



Record 3
## Y2ErMg6 (PBE-GGA)

Data for a relaxed Y2ErMg6 crystal.

Geometry as extended XYZ:
```
9
Lattice="3.1351 0.0000 -1.0776 0.0000 9.0372 0.0000 -3.6965 -4.5186 9.5503" Properties=species:S:1:pos:R:3 pbc="T T T"
Y 0.8578 4.5186 2.4646
Y -1.4192 0.0000 6.0081
Er 0.0000 0.0000 0.0000
Mg -0.7134 1.5029 2.9985
Mg 0.1520 -3.0156 5.4742
Mg 0.1520 3.0156 5.4742
Mg 1.5675 3.0022 -0.5388
Mg -0.7134 7.5342 2.9985
Mg 1.5675 6.0350 -0.5388
```

Computed properties:
formation energy from the elements: -0.073 eV per atom
space group: No. 12



Record 4
## Sc2PaTe6 (PBE-GGA)

Data for a relaxed Sc2PaTe6 crystal.

Geometry as extended XYZ:
```
18
Lattice="7.0494 0.0000 0.0000 0.0000 7.0494 0.0000 0.0000 0.0000 12.7148" Properties=species:S:1:pos:R:3 pbc="T T T"
Sc 0.0000 0.0000 4.2396
Sc 3.5247 3.5247 10.5970
Sc 3.5247 3.5247 2.1178
Sc 0.0000 0.0000 8.4752
Pa 0.0000 0.0000 0.0000
Pa 3.5247 3.5247 6.3574
Te 2.0766 2.0766 4.1972
Te 4.9728 4.9728 4.1972
Te 1.4481 5.6013 10.5546
Te 5.6013 1.4481 10.5546
Te 1.4481 5.6013 2.1602
Te 5.6013 1.4481 2.1602
Te 2.0766 2.0766 8.5176
Te 4.9728 4.9728 8.5176
Te 2.1194 2.1194 0.0000
Te 4.9300 4.9300 0.0000
Te 1.4053 5.6441 6.3574
Te 5.6441 1.4053 6.3574
```

Computed properties:
space group: No. 136
formation energy without anion corrections: -7.76 eV/f.u.



Record 5
## MnZnCr2H (PBE-GGA)

Data for a relaxed MnZnCr2H crystal.

Geometry as extended XYZ:
```
5
Lattice="-3.4219 1.3521 -0.6091 0.5556 -0.2511 -3.6792 -1.3668 -3.4462 0.0288" Properties=species:S:1:pos:R:3 pbc="T T T"
Cr 0.2778 -0.1256 -1.8396
Cr -1.7110 0.6760 -0.3045
Zn -2.1165 -1.1726 -2.1297
Mn -0.6834 -1.7231 0.0144
H 0.0000 0.0000 0.0000
```

Computed properties:
uncorrected energy: -32.33 eV/cell
space group: No. 123



Record 6
## AcCe2YSe5 (PBE-GGA)

Data for a relaxed AcCe2YSe5 crystal.

Geometry as extended XYZ:
```
9
Lattice="5.1478 0.0000 0.0000 0.0000 5.1478 0.0000 0.0000 0.0000 11.3797" Properties=species:S:1:pos:R:3 pbc="T T T"
Ac 0.0000 0.0000 0.0000
Ce 2.5739 2.5739 3.7710
Ce 2.5739 2.5739 7.6087
Y 0.0000 0.0000 5.6899
Se 0.0000 2.5739 5.6899
Se 2.5739 0.0000 5.6899
Se 0.0000 0.0000 8.4751
Se 0.0000 0.0000 2.9046
Se 2.5739 2.5739 0.0000
```

Computed properties:
space group: No. 123
formation energy without anion corrections: -12.38 eV/f.u.



Record 7
## NaTlMo2N (PBE-GGA)

Data for a relaxed NaTlMo2N crystal.

Geometry as extended XYZ:
```
5
Lattice="-1.2975 -0.6459 4.9532 -0.9549 -5.1440 -0.9209 4.9083 -1.1153 1.1403" Properties=species:S:1:pos:R:3 pbc="T T T"
Na 0.0000 0.0000 0.0000
Tl -0.4774 -2.5720 -0.4605
Mo 2.4541 -0.5576 0.5701
Mo -0.6488 -0.3230 2.4766
N 1.3279 -3.4526 2.5863
```

Computed properties:
space group: No. 123
formation energy without anion corrections: 15.79 eV/f.u.



Record 8
## GaSbPt6 (PBE-GGA)

Data for a relaxed GaSbPt6 crystal.

Geometry as extended XYZ:
```
8
Lattice="-3.5043 0.9121 1.7428 -1.5296 -3.5022 -1.2426 2.4675 -3.4851 6.7851" Properties=species:S:1:pos:R:3 pbc="T T T"
Ga 1.2338 -1.7425 3.3926
Sb 0.0000 0.0000 0.0000
Pt -2.5169 -1.2951 0.2501
Pt -1.2832 -3.0376 3.6427
Pt -1.1137 -0.4457 2.6271
Pt 0.0769 -2.1272 5.9009
Pt -0.1263 -2.6529 1.1344
Pt 1.0642 -4.3344 4.4081
```

Computed properties:
space group: No. 123
formation energy without anion corrections: -2.69 eV/f.u.